Sm5In2Sn5, optimized geometry, DFT PBE; density of states at the Fermi level = 6.46 states/eV/f.u.; total energy = -0.172 Ha/atom; space-group type = C2/m (12); density = 7.80 Mg/m³; formation energy = -6.926 eV/f.u.
1.0
-1.778 -2.305 -3.747
7.972 2.361 -2.231
-2.727 -8.342 6.426
Sn Sm In
5 5 2
Direct
0.239 0.479 0.192
0.069 0.138 0.360
0.000 0.000 0.000
0.931 0.862 0.640
0.761 0.521 0.808
0.395 0.790 0.077
0.691 0.383 0.336
0.605 0.210 0.923
0.309 0.617 0.664
0.500 0.000 0.500
0.145 0.289 0.759
0.855 0.711 0.241

---

CsZnBi, optimized geometry, DFT PBE; density of states at the Fermi level = 0.02 states/eV/f.u.; total energy = -0.083 Ha/atom; space-group type = Cmc2_1 (36); density = 5.69 Mg/m³; formation energy = -0.731 eV/f.u.
1.0
-6.292 4.517 2.220
3.811 -7.052 0.816
3.545 2.492 4.978
Zn Bi Cs
2 2 2
Direct
0.230 0.770 0.460
0.770 0.230 0.960
0.659 0.341 0.302
0.341 0.659 0.802
0.925 0.075 0.362
0.075 0.925 0.862

---

Mg2TaP, optimized geometry, DFT PBE; density of states at the Fermi level = 2.02 states/eV/f.u.; total energy = -0.188 Ha/atom; space-group type = Immm (71); density = 6.29 Mg/m³; formation energy = -0.054 eV/f.u.
1.0
-4.865 -2.668 0.985
-0.861 -5.440 -1.193
3.240 3.721 2.723
P Ta Mg
1 1 2
Direct
0.750 0.250 0.500
0.250 0.750 0.500
0.971 0.971 0.000
0.529 0.529 0.000

---

Na2H2Se, optimized geometry, DFT PBE; energy above the most stable polymorph in this dataset = 119 meV/atom; density of states at the Fermi level = 0.00 states/eV/f.u.; total energy = -0.113 Ha/atom; space-group type = P4/mbm (127); density = 2.45 Mg/m³
1.0
6.697 0.000 0.000
0.000 6.697 0.000
0.000 0.000 3.838
H Na Se
4 4 2
Direct
0.459 0.959 0.000
0.959 0.541 0.000
0.041 0.459 0.000
0.541 0.041 0.000
0.735 0.765 0.500
0.265 0.235 0.500
0.235 0.735 0.500
0.765 0.265 0.500
0.500 0.500 0.000
0.000 0.000 0.000

---

Pm2Y8Th, optimized geometry, DFT PBE; energy above the most stable polymorph in this dataset = 0 meV/atom; density of states at the Fermi level = 17.63 states/eV/f.u.; total energy = -0.223 Ha/atom; space-group type = Cmmm (65); density = 5.49 Mg/m³; formation energy = 1.927 eV/f.u.
1.0
-1.511 -1.024 -5.089
7.421 2.920 -2.784
1.262 -8.251 1.293
Y Pm Th
8 2 1
Direct
0.000 0.295 0.033
0.500 0.333 0.333
0.000 0.705 0.967
0.500 0.748 0.252
0.000 0.967 0.705
0.500 0.252 0.748
0.000 0.033 0.295
0.500 0.667 0.667
0.000 0.620 0.380
0.000 0.380 0.620
0.500 0.000 0.000

---

Pm3ThBi4, optimized geometry, DFT PBE; energy above the most stable polymorph in this dataset = 11 meV/atom; density of states at the Fermi level = 5.14 states/eV/f.u.; total energy = -0.202 Ha/atom; space-group type = Pm-3m (221); density = 9.15 Mg/m³; formation energy = -6.826 eV/f.u.
1.0
6.485 0.000 0.000
0.000 6.485 0.000
0.000 0.000 6.485
Pm Bi Th
3 4 1
Direct
0.500 0.000 0.500
0.500 0.500 0.000
0.000 0.500 0.500
0.000 0.000 0.500
0.500 0.500 0.500
0.500 0.000 0.000
0.000 0.500 0.000
0.000 0.000 0.000